No. 1
Material: La2Pt
Method: DFT, PBE-GGA
State: optimized geometry

extended XYZ file:
```
3
Lattice="-3.201 3.858 0.888 -0.712 -1.685 4.751 2.745 2.018 1.127" Properties=species:S:1:pos:R:3 pbc="T T T"
La -0.228 2.938 1.008
La 1.016 0.166 2.939
Pt 0.000 0.000 0.000
```

Results
Its space group is P4/mmm. The value obtained for the mass density is 8.44 g/cm³. The calculation puts the energy relative to the elements at -0.66 eV per atom.

***

No. 2
Material: LaPt2
Method: DFT, PBE-GGA
State: optimized geometry

extended XYZ file:
```
3
Lattice="3.954 0.000 0.000 0.000 3.954 0.000 0.000 0.000 4.518" Properties=species:S:1:pos:R:3 pbc="T T T"
Pt 1.977 0.000 2.259
Pt 0.000 1.977 2.259
La 0.000 0.000 0.000
```

Results
Its space group is P4/mmm. The value obtained for the mass density is 12.44 g/cm³. The calculation puts the energy relative to the elements at -0.87 eV per atom.

***

No. 3
Material: La2Pt3
Method: DFT, PBE-GGA
State: optimized geometry

extended XYZ file:
```
5
Lattice="-4.729 0.876 -1.330 2.825 -3.085 -2.720 -1.810 -4.637 3.380" Properties=species:S:1:pos:R:3 pbc="T T T"
Pt -3.587 -3.972 0.779
Pt 0.000 0.000 0.000
Pt -0.125 -2.873 -1.448
La -1.034 -5.202 0.249
La -2.679 -1.643 -0.919
```

Results
Its space group is P-3m1. The value obtained for the mass density is 11.05 g/cm³. The calculation puts the energy relative to the elements at -0.92 eV per atom.

***

No. 4
Material: LaPt2
Method: DFT, PBE-GGA
State: optimized geometry

extended XYZ file:
```
3
Lattice="3.042 0.000 0.000 -1.521 2.634 0.000 0.000 0.000 7.411" Properties=species:S:1:pos:R:3 pbc="T T T"
Pt 1.521 0.878 2.539
Pt 0.000 1.756 4.872
La 0.000 0.000 0.000
```

Results
Its space group is P-3m1. The value obtained for the mass density is 14.79 g/cm³. The calculation puts the energy relative to the elements at -0.10 eV per atom.

***

No. 5
Material: LaPt5
Method: DFT, PBE-GGA
State: optimized geometry

extended XYZ file:
```
6
Lattice="3.455 0.000 0.000 0.000 3.455 0.000 0.000 0.000 9.283" Properties=species:S:1:pos:R:3 pbc="T T T"
Pt 0.000 0.000 2.684
Pt 0.000 0.000 6.598
Pt 0.000 0.000 0.000
Pt 1.728 1.728 7.825
Pt 1.728 1.728 1.458
La 1.728 1.728 4.641
```

Results
Its space group is P4/mmm. The value obtained for the mass density is 16.70 g/cm³. The calculation puts the energy relative to the elements at -0.32 eV per atom.

***

No. 6
Material: La5Pt6
Method: DFT, PBE-GGA
State: optimized geometry

extended XYZ file:
```
11
Lattice="4.030 0.000 0.000 0.000 4.297 -0.628 0.000 0.119 15.837" Properties=species:S:1:pos:R:3 pbc="T T T"
Pt 2.015 2.075 14.208
Pt 0.000 1.286 8.803
Pt 2.015 0.461 3.156
Pt 2.015 2.341 1.001
Pt 0.000 3.130 6.406
Pt 2.015 3.955 12.054
La 0.000 0.000 0.000
La 0.000 2.673 3.278
La 2.015 3.512 9.023
La 2.015 0.904 6.187
La 0.000 1.743 11.931
```

Results
Its space group is Cmmm. The value obtained for the mass density is 11.28 g/cm³. The calculation puts the energy relative to the elements at -1.16 eV per atom.

***

| no. | volume (Å³/cell) | electronic total energy (Ry per atom) |
| --- | --- | --- |
| 1 | 93.0 | -0.4378 |
| 2 | 70.6 | -0.4806 |
| 3 | 129.7 | -0.4787 |
| 4 | 59.4 | -0.4240 |
| 5 | 110.8 | -0.4542 |
| 6 | 274.6 | -0.4919 |